No. 1
Material: ZnReP2
Method: DFT, PBE
State: optimized geometry

a b c (Å): 6.5796 6.5796 6.5796
angles (deg): 130.76 130.76 72.19
Sites, in units of the cell vectors:
Zn  0.0000  0.0000  0.0000
Zn  0.7500  0.2500  0.5000
Re  0.2500  0.7500  0.5000
Re  0.5000  0.5000  0.0000
P  0.1471  0.1250  0.5221
P  0.3750  0.8529  0.9779
P  0.6029  0.6250  0.4779
P  0.8750  0.3971  0.0221

Properties
SG: No. 122
Electronic total energy in eV for the cell shown: -47.955

No. 2
Material: Al2TcPd
Method: DFT, PBE
State: optimized geometry

a b c (Å): 4.2276 4.2276 3.1736
angles (deg): 90.00 90.00 90.00
Sites, in units of the cell vectors:
Al  0.0000  0.5000  0.0000
Al  0.5000  0.0000  0.0000
Tc  0.0000  0.0000  0.5000
Pd  0.5000  0.5000  0.5000

Properties
SG: No. 123
Electronic total energy in eV for the cell shown: -25.758

No. 3
Material: Sm2BN2Cl
Method: DFT, PBE
State: optimized geometry

a b c (Å): 8.2723 8.2723 8.2723
angles (deg): 27.86 27.86 27.86
Sites, in units of the cell vectors:
Sm  0.2429  0.2429  0.2429
Sm  0.7571  0.7571  0.7571
B  0.5000  0.5000  0.5000
N  0.4407  0.4407  0.4407
N  0.5593  0.5593  0.5593
Cl  0.0000  0.0000  0.0000

Properties
SG: No. 166
Electronic total energy in eV for the cell shown: -42.109

No. 4
Material: Mo5Pb3
Method: DFT, PBE
State: optimized geometry

a b c (Å): 8.6606 8.6606 5.0572
angles (deg): 90.00 90.00 120.00
Sites, in units of the cell vectors:
Mo  0.0000  0.1698  0.2500
Mo  0.0000  0.8302  0.7500
Mo  0.1698  0.0000  0.2500
Mo  0.1698  0.1698  0.7500
Mo  0.3333  0.6667  0.0000
Mo  0.3333  0.6667  0.5000
Mo  0.6667  0.3333  0.0000
Mo  0.6667  0.3333  0.5000
Mo  0.8302  0.0000  0.7500
Mo  0.8302  0.8302  0.2500
Pb  0.0000  0.3880  0.7500
Pb  0.0000  0.6120  0.2500
Pb  0.3880  0.0000  0.7500
Pb  0.3880  0.3880  0.2500
Pb  0.6120  0.0000  0.2500
Pb  0.6120  0.6120  0.7500

Properties
SG: No. 193
Electronic total energy in eV for the cell shown: -118.909

No. 5
Material: ZnFeHgPb
Method: DFT, PBE
State: optimized geometry

a b c (Å): 4.8553 4.8553 4.8553
angles (deg): 60.00 60.00 60.00
Sites, in units of the cell vectors:
Zn  0.0000  0.0000  0.0000
Fe  0.5000  0.5000  0.5000
Hg  0.7500  0.7500  0.7500
Pb  0.2500  0.2500  0.2500

Properties
Energy above the lowest structure with this stoichiometry in meV/atom: 0
SG: No. 216
Electronic total energy in eV for the cell shown: -11.602

No. 6
Material: InGa2Cu
Method: DFT, PBE
State: optimized geometry

a b c (Å): 4.7296 4.7296 4.7296
angles (deg): 60.00 60.00 60.00
Sites, in units of the cell vectors:
In  0.0000  0.0000  0.0000
Ga  0.5000  0.5000  0.5000
Ga  0.7500  0.7500  0.7500
Cu  0.2500  0.2500  0.2500

Properties
SG: No. 216
Electronic total energy in eV for the cell shown: -11.909

No. 7
Material: Sc4Mo2S3N3
Method: DFT, PBE
State: optimized geometry

a b c (Å): 5.7270 5.7270 11.8866
angles (deg): 103.40 103.40 60.15
Sites, in units of the cell vectors:
Sc  0.0217  0.2077  0.1001
Sc  0.1445  0.3005  0.3999
Sc  0.2077  0.0217  0.6001
Sc  0.3005  0.1445  0.8999
Sc  0.6995  0.8555  0.1001
Sc  0.7923  0.9783  0.3999
Sc  0.8555  0.6995  0.6001
Sc  0.9783  0.7923  0.8999
Mo  0.3792  0.5289  0.0920
Mo  0.4711  0.6208  0.4080
Mo  0.5289  0.3792  0.5920
Mo  0.6208  0.4711  0.9080
S  0.1047  0.8953  0.2500
S  0.2677  0.4180  0.7478
S  0.4180  0.2677  0.2478
S  0.5820  0.7323  0.7522
S  0.7323  0.5820  0.2522
S  0.8953  0.1047  0.7500
N  0.0000  0.5000  0.0000
N  0.1473  0.6763  0.4998
N  0.3237  0.8527  0.0002
N  0.5000  0.0000  0.5000
N  0.6763  0.1473  0.9998
N  0.8527  0.3237  0.5002

Properties
SG: No. 15
Electronic total energy in eV for the cell shown: -201.938

No. 8
Material: NdEr2Mg3Pt3
Method: DFT, PBE
State: optimized geometry

a b c (Å): 4.0807 7.3916 7.3916
angles (deg): 120.18 90.00 90.00
Sites, in units of the cell vectors:
Nd  0.0000  0.0000  0.0000
Er  0.0000  0.4141  0.8220
Er  0.0000  0.8220  0.4141
Mg  0.5000  0.1696  0.4161
Mg  0.5000  0.4161  0.1696
Mg  0.5000  0.6563  0.6563
Pt  0.0000  0.4206  0.4206
Pt  0.5000  0.0826  0.7391
Pt  0.5000  0.7391  0.0826

Properties
SG: No. 38
Electronic total energy in eV for the cell shown: -45.231

No. 9
Material: Gd3Dy2ErTe2Pt
Method: DFT, PBE
State: optimized geometry

a b c (Å): 3.9793 8.4092 8.4092
angles (deg): 119.90 90.00 90.00
Sites, in units of the cell vectors:
Gd  0.0000  0.0000  0.0000
Gd  0.0000  0.1950  0.5970
Gd  0.0000  0.5970  0.1950
Dy  0.5000  0.5970  0.8416
Dy  0.5000  0.8416  0.5970
Er  0.5000  0.3536  0.3536
Te  0.5000  0.2635  0.9311
Te  0.5000  0.9311  0.2635
Pt  0.0000  0.5944  0.5944

Properties
SG: No. 38
Electronic total energy in eV for the cell shown: -48.421

No. 10
Material: Ho4BI5
Method: DFT, PBE
State: optimized geometry

a b c (Å): 9.7809 9.7809 8.6124
angles (deg): 102.18 102.18 23.82
Sites, in units of the cell vectors:
Ho  0.0007  0.0007  0.3061
Ho  0.3671  0.3671  0.4335
Ho  0.6329  0.6329  0.5665
Ho  0.9993  0.9993  0.6939
B  0.5000  0.5000  0.5000
I  0.1638  0.1638  0.8393
I  0.1693  0.1693  0.3252
I  0.5000  0.5000  0.0000
I  0.8307  0.8307  0.6748
I  0.8362  0.8362  0.1607

Properties
SG: No. 12
Electronic total energy in eV for the cell shown: -43.429

No. 11
Material: LuCoGeW
Method: DFT, PBE
State: optimized geometry

a b c (Å): 4.4831 4.4831 4.4831
angles (deg): 60.00 60.00 60.00
Sites, in units of the cell vectors:
Lu  0.0000  0.0000  0.0000
Co  0.7500  0.7500  0.7500
Ge  0.5000  0.5000  0.5000
W  0.2500  0.2500  0.2500

Properties
Energy above the lowest structure with this stoichiometry in meV/atom: 0
SG: No. 216
Electronic total energy in eV for the cell shown: -27.809

No. 12
Material: ErIrPb
Method: DFT, PBE
State: optimized geometry

a b c (Å): 4.7168 4.7168 4.7168
angles (deg): 60.00 60.00 60.00
Sites, in units of the cell vectors:
Er  0.0000  0.0000  0.0000
Ir  0.5000  0.5000  0.5000
Pb  0.2500  0.2500  0.2500

Properties
SG: No. 216
Electronic total energy in eV for the cell shown: -16.657

No. 13
Material: Tb4TmBi5
Method: DFT, PBE
State: optimized geometry

a b c (Å): 16.1035 16.1035 16.1035
angles (deg): 164.05 164.05 22.62
Sites, in units of the cell vectors:
Tb  0.0999  0.0999  0.0000
Tb  0.3004  0.3004  0.0000
Tb  0.6996  0.6996  0.0000
Tb  0.9001  0.9001  0.0000
Tm  0.5000  0.5000  0.0000
Bi  0.0000  0.0000  0.0000
Bi  0.2001  0.2001  0.0000
Bi  0.4009  0.4009  0.0000
Bi  0.5991  0.5991  0.0000
Bi  0.7999  0.7999  0.0000

Properties
SG: No. 139
Electronic total energy in eV for the cell shown: -51.991

No. 14
Material: ZnPd9
Method: DFT, PBE
State: optimized geometry

a b c (Å): 2.8255 2.8255 50.9505
angles (deg): 90.00 90.00 90.00
Sites, in units of the cell vectors:
Zn  0.2500  0.2500  0.1431
Zn  0.7500  0.7500  0.8569
Pd  0.2500  0.2500  0.2147
Pd  0.2500  0.2500  0.2914
Pd  0.2500  0.2500  0.3673
Pd  0.2500  0.2500  0.4432
Pd  0.2500  0.2500  0.5189
Pd  0.2500  0.2500  0.5947
Pd  0.2500  0.2500  0.6707
Pd  0.2500  0.2500  0.7468
Pd  0.2500  0.2500  0.8252
Pd  0.7500  0.7500  0.1748
Pd  0.7500  0.7500  0.2532
Pd  0.7500  0.7500  0.3293
Pd  0.7500  0.7500  0.4053
Pd  0.7500  0.7500  0.4811
Pd  0.7500  0.7500  0.5568
Pd  0.7500  0.7500  0.6327
Pd  0.7500  0.7500  0.7086
Pd  0.7500  0.7500  0.7853

Properties
Energy above the lowest structure with this stoichiometry in meV/atom: 7
SG: No. 129
Electronic total energy in eV for the cell shown: -96.310

No. 15
Material: PuZrHg
Method: DFT, PBE
State: optimized geometry

a b c (Å): 4.8747 4.8747 4.8747
angles (deg): 60.00 60.00 60.00
Sites, in units of the cell vectors:
Pu  0.0000  0.0000  0.0000
Zr  0.2500  0.2500  0.2500
Hg  0.7500  0.7500  0.7500

Properties
SG: No. 216
Electronic total energy in eV for the cell shown: -21.144

No. 16
Material: Y3In3Ag2Ir
Method: DFT, PBE
State: optimized geometry

a b c (Å): 7.7346 7.7346 3.9845
angles (deg): 90.00 90.00 120.00
Sites, in units of the cell vectors:
Y  0.0000  0.3921  0.0000
Y  0.3921  0.0000  0.0000
Y  0.6079  0.6079  0.0000
In  0.0000  0.7442  0.5000
In  0.2558  0.2558  0.5000
In  0.7442  0.0000  0.5000
Ag  0.3333  0.6667  0.5000
Ag  0.6667  0.3333  0.5000
Ir  0.0000  0.0000  0.0000

Properties
SG: No. 189
Electronic total energy in eV for the cell shown: -46.693

No. 17
Material: MgSn4Pt
Method: DFT, PBE
State: optimized geometry

a b c (Å): 4.6305 4.6305 7.1532
angles (deg): 90.00 90.00 90.00
Sites, in units of the cell vectors:
Mg  0.0000  0.0000  0.0000
Sn  0.0000  0.5000  0.2736
Sn  0.0000  0.5000  0.7264
Sn  0.5000  0.0000  0.2736
Sn  0.5000  0.0000  0.7264
Pt  0.5000  0.5000  0.5000

Properties
SG: No. 123
Electronic total energy in eV for the cell shown: -24.992

No. 18
Material: SmGeAuSe2S
Method: DFT, PBE
State: optimized geometry

a b c (Å): 6.9595 6.9595 10.4496
angles (deg): 90.00 90.00 146.79
Sites, in units of the cell vectors:
Sm  0.0000  0.0000  0.0000
Sm  0.0000  0.0000  0.5000
Ge  0.2429  0.7571  0.7500
Ge  0.7571  0.2429  0.2500
Au  0.4762  0.5238  0.2500
Au  0.5238  0.4762  0.7500
Se  0.3434  0.6566  0.0671
Se  0.3434  0.6566  0.4329
Se  0.6566  0.3434  0.5671
Se  0.6566  0.3434  0.9329
S  0.0999  0.9001  0.2500
S  0.9001  0.0999  0.7500

Properties
SG: No. 63
Electronic total energy in eV for the cell shown: -56.196

No. 19
Material: SnHg
Method: DFT, PBE
State: optimized geometry

a b c (Å): 3.3439 3.3439 5.4222
angles (deg): 90.00 90.00 120.00
Sites, in units of the cell vectors:
Sn  0.0000  0.0000  0.0000
Hg  0.3333  0.6667  0.5000

Properties
SG: No. 187
Electronic total energy in eV for the cell shown: -4.153

No. 20
Material: K2H6PdO6
Method: DFT, PBE
State: optimized geometry

a b c (Å): 5.5219 5.5219 5.5219
angles (deg): 70.65 70.65 70.65
Sites, in units of the cell vectors:
K  0.2109  0.2109  0.2109
K  0.7891  0.7891  0.7891
H  0.1313  0.6811  0.2745
H  0.2745  0.1313  0.6811
H  0.3189  0.7255  0.8687
H  0.6811  0.2745  0.1313
H  0.7255  0.8687  0.3189
H  0.8687  0.3189  0.7255
Pd  0.5000  0.5000  0.5000
O  0.1996  0.3176  0.6971
O  0.3029  0.8004  0.6824
O  0.3176  0.6971  0.1996
O  0.6824  0.3029  0.8004
O  0.6971  0.1996  0.3176
O  0.8004  0.6824  0.3029

Properties
Energy above the lowest structure with this stoichiometry in meV/atom: 0
SG: No. 148
Electronic total energy in eV for the cell shown: -73.480

No. 21
Material: BeCdInCu
Method: DFT, PBE
State: optimized geometry

a b c (Å): 4.5665 4.5665 4.5665
angles (deg): 60.00 60.00 60.00
Sites, in units of the cell vectors:
Be  0.0000  0.0000  0.0000
Cd  0.2500  0.2500  0.2500
In  0.5000  0.5000  0.5000
Cu  0.7500  0.7500  0.7500

Properties
Energy above the lowest structure with this stoichiometry in meV/atom: 100
SG: No. 216
Electronic total energy in eV for the cell shown: -9.237

No. 22
Material: GdAgTePbS2
Method: DFT, PBE
State: optimized geometry

a b c (Å): 7.3589 7.3589 11.2259
angles (deg): 90.00 90.00 147.62
Sites, in units of the cell vectors:
Gd  0.0000  0.0000  0.0000
Gd  0.0000  0.0000  0.5000
Ag  0.4800  0.5200  0.7500
Ag  0.5200  0.4800  0.2500
Te  0.1145  0.8855  0.7500
Te  0.8855  0.1145  0.2500
Pb  0.2083  0.7917  0.2500
Pb  0.7917  0.2083  0.7500
S  0.3760  0.6240  0.5669
S  0.3760  0.6240  0.9331
S  0.6240  0.3760  0.0669
S  0.6240  0.3760  0.4331

Properties
SG: No. 63
Electronic total energy in eV for the cell shown: -56.002

No. 23
Material: TmPtNO
Method: DFT, PBE
State: optimized geometry

a b c (Å): 3.8832 6.1582 5.1218
angles (deg): 90.00 90.00 90.00
Sites, in units of the cell vectors:
Tm  0.0000  0.1886  0.0000
Tm  0.0000  0.8114  0.5000
Pt  0.5000  0.4216  0.4882
Pt  0.5000  0.5784  0.9882
N  0.5000  0.2820  0.8281
N  0.5000  0.7180  0.3281
O  0.0000  0.1456  0.4096
O  0.0000  0.8544  0.9096

Properties
Energy above the lowest structure with this stoichiometry in meV/atom: 443
SG: No. 26
Electronic total energy in eV for the cell shown: -56.361

No. 24
Material: Hf4TePbC2
Method: DFT, PBE
State: optimized geometry

a b c (Å): 3.4497 3.4497 13.9176
angles (deg): 90.00 90.00 120.00
Sites, in units of the cell vectors:
Hf  0.0000  0.0000  0.1544
Hf  0.0000  0.0000  0.8456
Hf  0.6667  0.3333  0.3233
Hf  0.6667  0.3333  0.6767
Te  0.6667  0.3333  0.0000
Pb  0.0000  0.0000  0.5000
C  0.3333  0.6667  0.2400
C  0.3333  0.6667  0.7600

Properties
SG: No. 187
Electronic total energy in eV for the cell shown: -70.920